[1]
The following is a DFT calculation (GGA-PBE) of crystalline Mn2PdAu2 at its relaxed geometry.

Lattice parameters (Å, degrees): 7.254 7.254 5.482 90.00 90.00 145.01
Positions (direct):
Mn1 0.091 0.909 0.500
Mn2 0.297 0.703 0.708
Mn3 0.703 0.297 0.208
Mn4 0.909 0.091 0.000
Pd1 0.112 0.888 0.999
Pd2 0.888 0.112 0.499
Au1 0.309 0.691 0.208
Au2 0.490 0.510 0.760
Au3 0.510 0.490 0.260
Au4 0.691 0.309 0.708

SG: No. 36
E above lowest polymorph (kJ per mole of atoms): 2.9
Crystal system: orthorhombic
Density of states at the Fermi level (states/eV/atom): 0.45

[2]
The following is a DFT calculation (GGA-PBE) of crystalline MnPd5Au2 at its relaxed geometry.

Lattice parameters (Å, degrees): 7.356 7.356 7.356 123.11 123.11 84.69
Positions (direct):
Mn1 0.250 0.250 0.000
Mn2 0.750 0.750 0.000
Pd1 0.000 0.000 0.000
Pd2 0.017 0.517 0.199
Pd3 0.182 0.983 0.500
Pd4 0.318 0.818 0.801
Pd5 0.483 0.682 0.500
Pd6 0.500 0.500 0.000
Pd7 0.517 0.318 0.500
Pd8 0.682 0.182 0.199
Pd9 0.818 0.017 0.500
Pd10 0.983 0.483 0.801
Au1 0.146 0.354 0.500
Au2 0.354 0.854 0.209
Au3 0.646 0.146 0.791
Au4 0.854 0.646 0.500

SG: No. 140
E above lowest polymorph (kJ per mole of atoms): 15.2
Crystal system: tetragonal
Density of states at the Fermi level (states/eV/atom): 0.78

[3]
The following is a DFT calculation (GGA-PBE) of crystalline Mn2Pd2Au at its relaxed geometry.

Lattice parameters (Å, degrees): 7.469 7.469 2.919 90.00 90.00 90.00
Positions (direct):
Mn1 0.151 0.349 0.000
Mn2 0.349 0.849 0.000
Mn3 0.651 0.151 0.000
Mn4 0.849 0.651 0.000
Pd1 0.143 0.643 0.500
Pd2 0.357 0.143 0.500
Pd3 0.643 0.857 0.500
Pd4 0.857 0.357 0.500
Au1 0.000 0.000 0.000
Au2 0.500 0.500 0.000

SG: No. 127
E above lowest polymorph (kJ per mole of atoms): 11.2
Crystal system: tetragonal
Density of states at the Fermi level (states/eV/atom): 0.40

[4]
The following is a DFT calculation (GGA-PBE) of crystalline Mn2Pd6Au at its relaxed geometry.

Lattice parameters (Å, degrees): 8.331 6.360 6.086 84.01 49.40 46.60
Positions (direct):
Mn1 0.161 0.161 0.839
Mn2 0.839 0.839 0.161
Pd1 0.168 0.490 0.510
Pd2 0.168 0.832 0.168
Pd3 0.490 0.168 0.832
Pd4 0.510 0.832 0.168
Pd5 0.832 0.168 0.832
Pd6 0.832 0.510 0.490
Au1 0.500 0.500 0.500

SG: No. 69
E above lowest polymorph (kJ per mole of atoms): 0.0
Crystal system: orthorhombic
Density of states at the Fermi level (states/eV/atom): 0.60

> Among the records above, which one has the highest density of states at the Fermi level?

MnPd5Au2

> What is the density of states at the Fermi level in the second record?

0.78 states/eV/atom